# Ho4TeAs2S PBE optimized geometry
# D(E_F) ... 3.3 states/eV per cell
# Volume ... 198 Å³/f.u.
# E_form (uncorrected) ... -1.584 eV/atom
data_Ho4TeAs2S
_chemical_formula_sum 'Ho4 Te1 As2 S1'
_symmetry_space_group_name_H-M 'P 1 2/m 1'
_symmetry_Int_Tables_number 10
_symmetry_space_group_name_Hall '-P 2y'
_cell_length_a 7.141
_cell_length_b 4.105
_cell_length_c 7.147
_cell_angle_alpha 90.00
_cell_angle_beta 109.31
_cell_angle_gamma 90.00
loop_
_atom_site_label
_atom_site_type_symbol
_atom_site_fract_x
_atom_site_fract_y
_atom_site_fract_z
Ho1 Ho 0.230 0.000 0.229
Ho2 Ho 0.242 0.500 0.761
Te1 Te 0.500 0.500 0.500
As1 As 0.000 0.500 0.000
As2 As 0.500 0.000 0.000
S1 S 0.000 0.000 0.500


# HoThAsS PBE optimized geometry
# D(E_F) ... 2.6 states/eV per cell
# Volume ... 96 Å³/f.u.
# E_form (uncorrected) ... -1.667 eV/atom
data_HoThAsS
_chemical_formula_sum 'Ho1 Th1 As1 S1'
_symmetry_space_group_name_H-M 'P 4/m m m'
_symmetry_Int_Tables_number 123
_symmetry_space_group_name_Hall '-P 4 2'
_cell_length_a 4.058
_cell_length_b 4.058
_cell_length_c 5.847
_cell_angle_alpha 90.00
_cell_angle_beta 90.00
_cell_angle_gamma 90.00
loop_
_atom_site_label
_atom_site_type_symbol
_atom_site_fract_x
_atom_site_fract_y
_atom_site_fract_z
Ho1 Ho 0.000 0.000 0.000
Th1 Th 0.500 0.500 0.500
As1 As 0.500 0.500 0.000
S1 S 0.000 0.000 0.500


# HoTl2AsS4 PBE optimized geometry
# D(E_F) ... 0.8 states/eV per cell
# Volume ... 198 Å³/f.u.
# E_form (uncorrected) ... -0.763 eV/atom
data_HoTl2AsS4
_chemical_formula_sum 'Ho4 Tl8 As4 S16'
_symmetry_space_group_name_H-M 'I m m a'
_symmetry_Int_Tables_number 74
_symmetry_space_group_name_Hall '-I 2b 2'
_cell_length_a 8.220
_cell_length_b 8.247
_cell_length_c 11.660
_cell_angle_alpha 90.00
_cell_angle_beta 90.00
_cell_angle_gamma 90.00
loop_
_atom_site_label
_atom_site_type_symbol
_atom_site_fract_x
_atom_site_fract_y
_atom_site_fract_z
Ho1 Ho 0.250 0.250 0.250
Tl1 Tl 0.000 0.000 0.000
Tl2 Tl 0.250 0.250 0.750
As1 As 0.000 0.000 0.500
S1 S 0.000 0.030 0.272
S2 S 0.211 0.250 0.486


# Ho6TlAs2S3 PBE optimized geometry
# D(E_F) ... 8.3 states/eV per cell
# Volume ... 282 Å³/f.u.
# E_form (uncorrected) ... -1.512 eV/atom
data_Ho6TlAs2S3
_chemical_formula_sum 'Ho12 Tl2 As4 S6'
_symmetry_space_group_name_H-M 'C 1 2/m 1'
_symmetry_Int_Tables_number 12
_symmetry_space_group_name_Hall '-C 2y'
_cell_length_a 17.663
_cell_length_b 4.000
_cell_length_c 8.183
_cell_angle_alpha 90.00
_cell_angle_beta 103.13
_cell_angle_gamma 90.00
loop_
_atom_site_label
_atom_site_type_symbol
_atom_site_fract_x
_atom_site_fract_y
_atom_site_fract_z
Ho1 Ho 0.001 0.000 0.231
Ho2 Ho 0.168 0.500 0.083
Ho3 Ho 0.172 0.500 0.587
Tl1 Tl 0.000 0.500 0.500
As1 As 0.167 0.000 0.834
S1 S 0.000 0.500 0.000
S2 S 0.168 0.000 0.332


Q: D(E_F) of number 2 (HoThAsS)?
A: 2.6 states/eV per cell


Q: The lowest D(E_F) belongs to which entry?
A: HoTl2AsS4


Q: Among the records above, which one has the lowest E_form (uncorrected)?
A: HoThAsS